An optimized crystal structure of Cs3Np3InS8. Source: Alexandria via LeMat-Bulk, functional GGA-PBE.

Cell and atoms, written as extended XYZ:
```
15
Lattice="-6.7689 3.2130 3.3423 -0.0363 -2.5708 -7.7908 -0.0233 -6.7703 6.5317" Properties=species:S:1:pos:R:3 pbc="T T T"
In -0.0116 -3.3852 3.2659
Np -3.4142 -3.0640 1.0416
Cs -3.4026 0.3211 -2.2243
S -1.8781 -2.6976 -1.2557
S -4.9503 -3.4304 3.3389
Cs 0.0000 0.0000 0.0000
S -5.2722 -1.1225 0.4191
Cs -0.0181 -1.2854 -3.8954
Np -3.3961 -1.7786 4.9370
S -5.2585 0.1487 4.3262
S -4.9657 -4.6827 -0.5644
S -1.8627 -1.4454 2.6476
S -1.5562 -5.0056 1.6641
Np -0.0298 -4.6706 -0.6295
S -1.5699 -6.2768 -2.2430
```

Results
DOS(E_F)	1.4253	states/eV/atom
formation energy (no corrections)	-18.0	eV/f.u.
space group	C2/m (12)
magnetization	3.79	μB/cell